Rb2NpTe3 PBE-GGA optimized geometry; space group = C2/c, No. 15; polymorph energy (0 for the lowest one) = 0.0770 eV per atom
1.0
4.6210 -7.1873 0.0000
4.6210 7.1873 0.0000
-3.0491 0.0000 7.3381
Rb Np Te
4 2 6
Cartesian
2.3342 6.0980 5.5036
3.8587 3.8684 1.8345
2.3342 -3.8684 5.5036
3.8587 -6.0980 1.8345
2.3342 1.3420 5.5036
3.8587 -1.3420 1.8345
0.7859 3.5936 3.6690
-0.1039 0.9494 7.3086
1.4207 -0.9494 3.6396
2.3105 -3.5936 0.0000
4.7722 0.9494 3.6985
6.2967 -0.9494 0.0295

CePa2As3 PBE-GGA optimized geometry; space group = Immm, No. 71; formation energy = -7.096 eV per formula unit
1.0
-2.0603 2.9161 6.1945
2.0603 -2.9161 6.1945
2.0603 2.9161 -6.1945
Ce Pa As
1 2 3
Cartesian
0.0000 0.0000 0.0000
0.0000 0.0000 4.1487
0.0000 0.0000 8.2404
2.0603 0.0000 2.1120
0.0000 2.9161 0.0000
0.0000 2.9161 4.0825

BaCeP PBE-GGA optimized geometry; space group = Amm2, No. 38; polymorph energy (0 for the lowest one) = 0.1549 eV per atom; formation energy = -1.620 eV per formula unit
1.0
13.8533 0.0000 0.0000
0.0000 2.1991 3.8033
0.0000 -2.1991 3.8033
Ba Ce P
2 2 2
Cartesian
1.8448 0.0000 0.0000
12.0085 0.0000 0.0000
5.5992 0.0000 2.5746
8.2540 0.0000 2.5746
0.0000 0.0000 2.5363
6.9266 0.0000 0.0373

RbScSbI2 PBE-GGA optimized geometry; space group = P4/mmm, No. 123; polymorph energy (0 for the lowest one) = 1.3716 eV per atom
1.0
6.2603 0.0000 0.0000
0.0000 6.2603 0.0000
0.0000 0.0000 6.2774
Rb Sc Sb I
1 1 1 2
Cartesian
0.0000 0.0000 0.0000
3.1302 3.1302 3.1387
0.0000 0.0000 3.1387
0.0000 3.1302 0.0000
3.1302 0.0000 0.0000

Pr2Sm5HoEr PBE-GGA optimized geometry; space group = I4/mcm, No. 140; formation energy = 2.453 eV per formula unit
1.0
-4.3103 4.3103 8.2380
4.3103 -4.3103 8.2380
4.3103 4.3103 -8.2380
Pr Sm Ho Er
4 10 2 2
Cartesian
5.3534 1.0431 0.0000
1.0431 3.2673 0.0000
3.2673 1.0431 8.2380
-1.0431 3.2673 8.2380
0.0000 0.0000 0.0000
2.4391 1.8712 -2.3607
2.4391 -1.8712 5.8773
2.4391 1.8712 2.3607
2.4391 -1.8712 10.5988
0.0000 0.0000 8.2380
1.8712 6.1815 -2.3607
1.8712 2.4391 5.8773
1.8712 6.1815 2.3607
1.8712 2.4391 10.5988
0.0000 0.0000 4.1190
0.0000 0.0000 12.3570
4.3103 0.0000 4.1190
0.0000 4.3103 4.1190

BeGa3As PBE-GGA optimized geometry; space group = Pm-3m, No. 221; formation energy = 4.247 eV per formula unit
1.0
4.9933 0.0000 0.0000
0.0000 4.9933 0.0000
0.0000 0.0000 4.9933
Be Ga As
1 3 1
Cartesian
0.0000 0.0000 0.0000
0.0000 2.4967 2.4967
2.4967 0.0000 2.4967
2.4967 2.4967 0.0000
2.4967 2.4967 2.4967

no.,VASP energy (eV per atom)
1,-4.86
2,-7.66
3,-4.96
4,-2.33
5,-4.43
6,-2.64